First-principles (PBE) data for a relaxed Ac6GeIr2S3 crystal, as listed in the Alexandria database.

The space group is C2/m (No. 12) and the conventional cell measures 7.5467, 13.0989 and 7.8456 Å, with angles of 90.00, 108.93 and 90.00 degrees. Symmetry generates all atoms from Ac at (0.2321, 0.0000, 0.2391), Ac at (0.2479, 0.1743, 0.7640), Ge at (0.0000, 0.5000, 0.0000), Ir at (0.0000, 0.1668, 0.0000), S at (0.0000, 0.0000, 0.5000) and S at (0.0000, 0.3376, 0.5000).

As for the formation energy without anion corrections: -1.3177 eV per atom.

---

First-principles (PBE) data for a relaxed LiCd2Ga crystal, as listed in the Alexandria database.

The space group is Fmmm (No. 69) and the conventional cell measures 6.3271, 6.3544 and 7.7267 Å, with angles of 90.00, 90.00 and 90.00 degrees. Symmetry generates all atoms from Li at (0.0000, 0.0000, 0.0000), Cd at (0.2500, 0.2500, 0.2500) and Ga at (0.0000, 0.0000, 0.5000).

Its energy of formation from the pure elements is -142.2 meV per atom.

---

First-principles (PBE) data for a relaxed K2La2PuO6 crystal, as listed in the Alexandria database.

The space group is C2/m (No. 12) and the conventional cell measures 6.3589, 10.9112 and 6.6636 Å, with angles of 90.00, 106.98 and 90.00 degrees. Symmetry generates all atoms from K at (0.0000, 0.1627, 0.0000), La at (0.0000, 0.3345, 0.5000), Pu at (0.0000, 0.0000, 0.5000), O at (0.2055, 0.1615, 0.6736) and O at (0.2424, 0.0000, 0.3231).

As for the formation energy without anion corrections: -2.7523 eV per atom.

---

First-principles (PBE) data for a relaxed LaU2O6 crystal, as listed in the Alexandria database.

The space group is P-3m1 (No. 164) and the conventional cell measures 3.9005, 3.9005 and 9.4267 Å, with angles of 90.00, 90.00 and 120.00 degrees. Symmetry generates all atoms from La at (0.0000, 0.0000, 0.0000), U at (0.3333, 0.6667, 0.6634), O at (0.0000, 0.0000, 0.2737), O at (0.3333, 0.6667, 0.4230) and O at (0.3333, 0.6667, 0.8935).

Its energy above the most stable polymorph in this dataset is 0 meV/atom. As for the formation energy without anion corrections: -3.4002 eV per atom.

---

First-principles (PBE) data for a relaxed Sm2InSn crystal, as listed in the Alexandria database.

The space group is Amm2 (No. 38) and the conventional cell measures 4.3804, 4.6453 and 11.6630 Å, with angles of 90.00, 90.00 and 90.00 degrees. Symmetry generates all atoms from Sm at (0.0000, 0.0000, 0.0000), Sm at (0.5000, 0.0000, 0.2746), In at (0.0000, 0.0000, 0.7240) and Sn at (0.5000, 0.0000, 0.5523).

Its energy of formation from the pure elements is -636.5 meV per atom.

---

First-principles (PBE) data for a relaxed TbPr3Y12 crystal, as listed in the Alexandria database.

The space group is P4/mmm (No. 123) and the conventional cell measures 5.0873, 5.0873 and 20.3600 Å, with angles of 90.00, 90.00 and 90.00 degrees. Symmetry generates all atoms from Tb at (0.0000, 0.0000, 0.0000), Pr at (0.0000, 0.0000, 0.2492), Pr at (0.0000, 0.0000, 0.5000), Y at (0.0000, 0.5000, 0.1232), Y at (0.0000, 0.5000, 0.3744), Y at (0.5000, 0.5000, 0.0000), Y at (0.5000, 0.5000, 0.2485) and Y at (0.5000, 0.5000, 0.5000).

Its energy of formation from the pure elements is 22.4 meV per atom.

---

Number 1: DOS at the Fermi energy 15.3 states/eV per cell. Number 2: DOS at the Fermi energy 4.1 states/eV per cell. Number 3: DOS at the Fermi energy 4.7 states/eV per cell. Number 4: DOS at the Fermi energy 9.1 states/eV per cell. Number 5: DOS at the Fermi energy 7.7 states/eV per cell. Number 6: DOS at the Fermi energy 24.4 states/eV per cell.